Record 1
Computed, not measured: CaCr4Co at its PBEsol-relaxed geometry at the SCAN level of DFT.

The structure in extended XYZ format:
```
6
Lattice="0.0000 3.4157 3.4157 3.4157 0.0000 3.4157 3.4157 3.4157 0.0000" Properties=species:S:1:pos:R:3 pbc="T T T"
Ca 0.0000 0.0000 0.0000
Cr 4.2724 2.5590 2.5590
Cr 2.5590 4.2724 2.5590
Cr 2.5590 2.5590 4.2724
Cr 4.2724 4.2724 4.2724
Co 1.7078 1.7078 1.7078
```

## Properties
- E: -0.587 Ha/atom
- Space group: F-43m, No. 216
- Crystal system: cubic
- Magnetic moment: 0.299 μB per atom
- Formation enthalpy at 0 K: 75.9 kJ per mole of atoms



Record 2
Computed, not measured: CaCr2Co at its PBEsol-relaxed geometry at the SCAN level of DFT.

The structure in extended XYZ format:
```
4
Lattice="4.1984 -1.3969 0.0000 4.1984 1.3969 0.0000 -1.3772 0.0000 5.3618" Properties=species:S:1:pos:R:3 pbc="T T T"
Ca 0.0000 0.0000 0.0000
Cr 3.5148 0.0000 2.7425
Cr 6.2084 0.0000 2.0638
Co 0.9887 0.0000 3.6208
```

## Properties
- Excess energy over the best structure of this formula in the dataset: 0.0 meV per atom
- E: -0.562 Ha/atom
- Space group: Cm, No. 8
- Crystal system: monoclinic
- Magnetic moment: 0.065 μB per atom
- Formation enthalpy at 0 K: 61.8 kJ per mole of atoms



Record 3
Computed, not measured: CaCr2Co at its PBEsol-relaxed geometry at the SCAN level of DFT.

The structure in extended XYZ format:
```
4
Lattice="3.1364 0.0000 0.0000 0.0000 3.2081 0.0000 0.0000 0.0000 6.4592" Properties=species:S:1:pos:R:3 pbc="T T T"
Ca 0.0000 0.0000 0.0000
Cr 1.5682 1.6041 2.2733
Cr 1.5682 1.6041 4.1858
Co 0.0000 0.0000 3.2296
```

## Properties
- Excess energy over the best structure of this formula in the dataset: 9.5 meV per atom
- E: -0.562 Ha/atom
- Space group: Pmmm, No. 47
- Crystal system: orthorhombic
- Magnetic moment: 0.772 μB per atom
- Formation enthalpy at 0 K: 62.7 kJ per mole of atoms



Record 4
Computed, not measured: CaCr2Co at its PBEsol-relaxed geometry at the SCAN level of DFT.

The structure in extended XYZ format:
```
4
Lattice="4.5222 -1.4245 0.0000 4.5222 1.4245 0.0000 -1.0737 0.0000 4.8561" Properties=species:S:1:pos:R:3 pbc="T T T"
Ca 0.0000 0.0000 0.0000
Cr 1.2592 0.0000 3.0559
Cr 6.7114 0.0000 1.8002
Co 3.9853 0.0000 2.4280
```

## Properties
- Excess energy over the best structure of this formula in the dataset: 36.9 meV per atom
- E: -0.561 Ha/atom
- Space group: C2/m, No. 12
- Crystal system: monoclinic
- Magnetic moment: 0.000 μB per atom
- Formation enthalpy at 0 K: 65.3 kJ per mole of atoms



Record 5
Computed, not measured: CaCrGaCo2 at its PBEsol-relaxed geometry at the SCAN level of DFT.

The structure in extended XYZ format:
```
5
Lattice="4.3259 0.0000 0.0000 0.0000 4.3259 0.0000 0.0000 0.0000 4.6786" Properties=species:S:1:pos:R:3 pbc="T T T"
Ca 0.0000 0.0000 0.0000
Cr 0.0000 0.0000 2.3393
Ga 2.1629 2.1629 2.3393
Co 0.0000 2.1629 0.0000
Co 2.1629 0.0000 0.0000
```

## Properties
- E: -0.513 Ha/atom
- Space group: P4/mmm, No. 123
- Crystal system: tetragonal
- Magnetic moment: 1.352 μB per atom
- Formation enthalpy at 0 K: 176.9 kJ per mole of atoms



Record 6
Computed, not measured: Ca2CrCoN at its PBEsol-relaxed geometry at the SCAN level of DFT.

The structure in extended XYZ format:
```
5
Lattice="4.8832 0.0000 0.0000 0.0000 4.8832 0.0000 0.0000 0.0000 3.6913" Properties=species:S:1:pos:R:3 pbc="T T T"
Ca 0.0000 2.4416 0.0000
Ca 2.4416 0.0000 0.0000
Cr 0.0000 0.0000 1.8457
Co 2.4416 2.4416 1.8457
N 0.0000 0.0000 0.0000
```

## Properties
- E: -0.482 Ha/atom
- Space group: P4/mmm, No. 123
- Crystal system: tetragonal
- Magnetic moment: 0.970 μB per atom
- Formation energy without anion corrections: -0.25 eV/atom



Record 7
Computed, not measured: Ca2NbCrCo at its PBEsol-relaxed geometry at the SCAN level of DFT.

The structure in extended XYZ format:
```
5
Lattice="5.3904 0.0000 0.0000 0.0000 5.3904 0.0000 0.0000 0.0000 4.3971" Properties=species:S:1:pos:R:3 pbc="T T T"
Ca 0.0000 2.6952 0.0000
Ca 2.6952 0.0000 0.0000
Nb 0.0000 0.0000 2.1986
Cr 0.0000 0.0000 0.0000
Co 2.6952 2.6952 2.1986
```

## Properties
- E: -0.608 Ha/atom
- Space group: P4/mmm, No. 123
- Crystal system: tetragonal
- Magnetic moment: 0.555 μB per atom
- Formation enthalpy at 0 K: 105.9 kJ per mole of atoms



Record 8
Computed, not measured: CsCa3Co at its PBEsol-relaxed geometry at the SCAN level of DFT.

The structure in extended XYZ format:
```
5
Lattice="5.6401 0.0000 0.0000 0.0000 5.6401 0.0000 0.0000 0.0000 5.6401" Properties=species:S:1:pos:R:3 pbc="T T T"
Cs 0.0000 0.0000 0.0000
Ca 0.0000 0.0000 2.8201
Ca 0.0000 2.8201 0.0000
Ca 2.8201 0.0000 0.0000
Co 2.8201 2.8201 2.8201
```

## Properties
- E: -0.561 Ha/atom
- Space group: Pm-3m, No. 221
- Crystal system: cubic
- Magnetic moment: 0.418 μB per atom
- Formation enthalpy at 0 K: 150.6 kJ per mole of atoms



Record 9
Computed, not measured: CsCaCo3 at its PBEsol-relaxed geometry at the SCAN level of DFT.

The structure in extended XYZ format:
```
5
Lattice="5.1977 0.0000 0.0000 0.0000 5.1977 0.0000 0.0000 0.0000 5.1977" Properties=species:S:1:pos:R:3 pbc="T T T"
Cs 0.0000 0.0000 0.0000
Ca 2.5988 2.5988 2.5988
Co 0.0000 2.5988 2.5988
Co 2.5988 0.0000 2.5988
Co 2.5988 2.5988 0.0000
```

## Properties
- E: -0.668 Ha/atom
- Space group: Pm-3m, No. 221
- Crystal system: cubic
- Magnetic moment: 1.202 μB per atom
- Formation enthalpy at 0 K: 163.4 kJ per mole of atoms



Record 10
Computed, not measured: CsCaCoCu2 at its PBEsol-relaxed geometry at the SCAN level of DFT.

The structure in extended XYZ format:
```
5
Lattice="5.1818 0.0000 0.0000 0.0000 5.1818 0.0000 0.0000 0.0000 6.6738" Properties=species:S:1:pos:R:3 pbc="T T T"
Cs 0.0000 0.0000 0.0000
Ca 0.0000 0.0000 3.3369
Co 2.5909 2.5909 0.0000
Cu 0.0000 2.5909 3.3369
Cu 2.5909 0.0000 3.3369
```

## Properties
- E: -0.647 Ha/atom
- Space group: P4/mmm, No. 123
- Crystal system: tetragonal
- Magnetic moment: 0.405 μB per atom
- Formation enthalpy at 0 K: 137.1 kJ per mole of atoms



Record 11
Computed, not measured: Cs2CaZrCo at its PBEsol-relaxed geometry at the SCAN level of DFT.

The structure in extended XYZ format:
```
5
Lattice="6.5867 0.0000 0.0000 0.0000 6.5867 0.0000 0.0000 0.0000 6.2267" Properties=species:S:1:pos:R:3 pbc="T T T"
Cs 0.0000 3.2933 0.0000
Cs 3.2933 0.0000 0.0000
Ca 0.0000 0.0000 3.1134
Zr 0.0000 0.0000 0.0000
Co 3.2933 3.2933 3.1134
```

## Properties
- E: -0.921 Ha/atom
- Space group: P4/mmm, No. 123
- Crystal system: tetragonal
- Magnetic moment: 1.524 μB per atom
- Formation enthalpy at 0 K: 154.0 kJ per mole of atoms



Record 12
Computed, not measured: CaCoCu at its PBEsol-relaxed geometry at the SCAN level of DFT.

The structure in extended XYZ format:
```
3
Lattice="0.0000 3.0191 3.0191 3.0191 0.0000 3.0191 3.0191 3.0191 0.0000" Properties=species:S:1:pos:R:3 pbc="T T T"
Ca 0.0000 0.0000 0.0000
Co 1.5095 1.5095 1.5095
Cu 3.0191 3.0191 3.0191
```

## Properties
- E: -0.491 Ha/atom
- Space group: F-43m, No. 216
- Crystal system: cubic
- Magnetic moment: 0.477 μB per atom
- Formation enthalpy at 0 K: 67.0 kJ per mole of atoms